# 1
A geometry-optimized TbBO2 structure, computed with PBE.

Summary:
Its volume is 42.8 Å³/cell. The calculation puts the uncorrected formation energy at -67.4 kJ per mole of atoms.

a b c (Å): 6.5558 6.5558 6.5558
angles (deg): 24.57 24.57 24.57
Last column: nearest neighbours and their distance in Å.
Atoms (fractional coordinates):
1 Tb 0.0000 0.0000 0.0000  2 O 2.32
2 B 0.5000 0.5000 0.5000  6 O 1.83
3 O 0.1215 0.1215 0.1215  3 B 1.83
4 O 0.8785 0.8785 0.8785  3 B 1.83

***

# 2
A geometry-optimized TcPdO5 structure, computed with PBE.

Summary:
Its volume is 271.4 Å³/cell. The calculation puts the uncorrected formation energy at -86.3 kJ per mole of atoms.

a b c (Å): 6.7762 6.8138 7.1644
angles (deg): 84.48 71.36 60.27
Last column: nearest neighbours and their distance in Å.
Atoms (fractional coordinates):
1 Tc 0.0000 0.0000 0.0000  4 O 1.71-1.78
2 Tc 0.2266 0.4040 0.4007  4 O 1.71-1.78
3 Pd 0.5958 0.2090 0.7167  4 O 1.89-2.06
4 Pd 0.6082 0.7121 0.6838  4 O 1.89-2.06
5 O 0.2635 0.6371 0.3695  1 Tc 1.71
6 O 0.3038 0.9361 0.8967  1 Tc 1.78
7 O 0.3596 0.2452 0.1792  1 Tc 1.72
8 O 0.3611 0.2353 0.5775  1 Tc 1.78
9 O 0.4700 0.5251 0.7063  2 Pd 1.89
10 O 0.7502 0.8892 0.6906  2 Pd 1.89
11 O 0.8353 0.1850 0.8460  1 Tc 1.78
12 O 0.8860 0.1365 0.2299  1 Tc 1.72
13 O 0.9172 0.4850 0.4809  1 Tc 1.78
14 O 0.9796 0.7580 0.0200  1 Tc 1.71

***

# 3
A geometry-optimized DyLu2In structure, computed with PBE.

Summary:
As for the formation energy: -233 meV/atom. Its volume is 112.5 Å³/cell. The relative energy among the computed polymorphs is 22 meV/atom.

a b c (Å): 3.5402 3.5402 8.9761
angles (deg): 90.00 90.00 90.00
Last column: nearest neighbours and their distance in Å.
Atoms (fractional coordinates):
1 Dy 0.0000 0.0000 0.0000  8 Lu 3.49, 4 Dy 3.54
2 Lu 0.5000 0.5000 0.2716  4 In 3.24, 4 Dy 3.49, 4 Lu 3.54
3 Lu 0.5000 0.5000 0.7284  4 In 3.24, 4 Dy 3.49, 4 Lu 3.54
4 In 0.0000 0.0000 0.5000  8 Lu 3.24, 4 In 3.54

***

# 4
A geometry-optimized AgRh2O6 structure, computed with PBE.

Summary:
Its volume is 114.1 Å³/cell. The calculation puts the uncorrected formation energy at -27.3 kJ per mole of atoms.

a b c (Å): 5.4774 5.4774 4.3931
angles (deg): 90.00 90.00 120.00
Last column: nearest neighbours and their distance in Å.
Atoms (fractional coordinates):
1 Ag 0.0000 0.0000 0.0000  6 O 2.13
2 Rh 0.3333 0.6667 0.0000  6 O 2.02
3 Rh 0.6667 0.3333 0.0000  6 O 2.02
4 O 0.0000 0.3488 0.7856  2 Rh 2.02, 1 Ag 2.13
5 O 0.0000 0.6512 0.2144  2 Rh 2.02, 1 Ag 2.13
6 O 0.3488 0.0000 0.7856  2 Rh 2.02, 1 Ag 2.13
7 O 0.3488 0.3488 0.2144  2 Rh 2.02, 1 Ag 2.13
8 O 0.6512 0.0000 0.2144  2 Rh 2.02, 1 Ag 2.13
9 O 0.6512 0.6512 0.7856  2 Rh 2.02, 1 Ag 2.13

***

# 5
A geometry-optimized MgTa2CrB structure, computed with PBE.

Summary:
As for the formation energy: 1783 meV/atom. Its volume is 96.3 Å³/cell.

a b c (Å): 4.4901 4.4901 4.7757
angles (deg): 90.00 90.00 90.00
Last column: nearest neighbours and their distance in Å.
Atoms (fractional coordinates):
1 Mg 0.0000 0.0000 0.0000  2 Cr 2.39
2 Ta 0.0000 0.5000 0.5000  2 Cr 2.25
3 Ta 0.5000 0.0000 0.5000  2 Cr 2.25
4 Cr 0.0000 0.0000 0.5000  4 Ta 2.25, 2 Mg 2.39
5 B 0.5000 0.5000 0.0000  4 Mg 3.17, 8 Ta 3.28

***

# 6
A geometry-optimized Th8CoSb2 structure, computed with PBE.

Summary:
Its volume is 321.1 Å³/cell. The calculation puts the uncorrected formation energy at -22.0 kJ per mole of atoms.

a b c (Å): 9.5459 9.5459 6.7156
angles (deg): 108.65 108.65 33.83
Last column: nearest neighbours and their distance in Å.
Atoms (fractional coordinates):
1 Th 0.0012 0.0012 0.2371  4 Th 3.17-3.55, 2 Co 3.20, 1 Sb 3.29
2 Th 0.2217 0.2217 0.1300  4 Sb 3.28-3.65, 5 Th 3.34-3.61
3 Th 0.3632 0.3632 0.7049  1 Co 2.62
4 Th 0.4148 0.4148 0.2584  1 Co 2.69
5 Th 0.5852 0.5852 0.7416  1 Co 2.69
6 Th 0.6368 0.6368 0.2951  1 Co 2.62
7 Th 0.7783 0.7783 0.8700  4 Sb 3.28-3.65, 5 Th 3.34-3.61
8 Th 0.9988 0.9988 0.7629  4 Th 3.17-3.55, 2 Co 3.20, 1 Sb 3.29
9 Co 0.5000 0.5000 0.0000  4 Th 2.62-2.69
10 Sb 0.1719 0.1719 0.6130  11 Th 3.28-3.65
11 Sb 0.8281 0.8281 0.3870  11 Th 3.28-3.65

***

# 7
A geometry-optimized BaPd6Pb4 structure, computed with PBE.

Summary:
As for the formation energy: -337 meV/atom. Its volume is 243.9 Å³/cell.

a b c (Å): 7.8675 7.8675 4.5504
angles (deg): 90.00 90.00 120.00
Last column: nearest neighbours and their distance in Å.
Atoms (fractional coordinates):
1 Ba 0.0000 0.0000 0.0000  6 Pb 3.50, 6 Pd 3.64
2 Pd 0.2089 0.4178 0.5000  4 Pb 2.76-2.84, 2 Pd 2.94
3 Pd 0.2089 0.7911 0.5000  4 Pb 2.76-2.84, 2 Pd 2.94
4 Pd 0.5421 0.0842 0.0000  5 Pb 2.84-2.90, 2 Pd 2.94
5 Pd 0.5421 0.4579 0.0000  5 Pb 2.84-2.90, 2 Pd 2.94
6 Pd 0.5822 0.7911 0.5000  4 Pb 2.76-2.84, 2 Pd 2.94
7 Pd 0.9158 0.4579 0.0000  5 Pb 2.84-2.90, 2 Pd 2.94
8 Pb 0.3333 0.6667 0.0000  9 Pd 2.84
9 Pb 0.3909 0.1955 0.5000  6 Pd 2.76-2.90
10 Pb 0.8045 0.1955 0.5000  6 Pd 2.76-2.90
11 Pb 0.8045 0.6091 0.5000  6 Pd 2.76-2.90

***

Record order is preserved below.
Spin magnetization: 0.0 0.0 0.0 0.0 0.0 0.0 0.0 μB per formula unit
Record order is preserved below.
Fermi-level density of states: 1.01 3.01 3.65 7.38 5.83 13.34 5.62 states/eV/cell
Record order is preserved below.
DFT total energy: -24.02 -93.23 -17.31 -49.85 -32.69 -77.22 -51.62 eV for the cell shown